This record from Alexandria describes crystalline SiSb2TeBr at its relaxed geometry. The functional is PBEsol.

Lattice parameters (Å, degrees): 5.2275 5.2275 5.1528 90.00 90.00 90.00
Closest atoms and distances in Å follow each position.
Space group P4/mmm (No. 123)
Unique sites:
Si1 0.0000 0.0000 0.0000 [1 per cell]  2 Te 2.58, 4 Sb 2.61
Sb1 0.0000 0.5000 0.0000 [2 per cell]  2 Si 2.61
Te1 0.0000 0.0000 0.5000 [1 per cell]  2 Si 2.58
Br1 0.5000 0.5000 0.5000 [1 per cell]  8 Sb 3.67, 4 Te 3.70

Computed properties:
The value obtained for the density of states at the Fermi level is 3.3 states/eV/cell. The uncorrected formation energy is 459 meV per atom. The value obtained for the magnetic moment is 0.000 μB/atom.